Record 1
Compound: Nd3YPb2S
Source: the Alexandria database
Functional: GGA-PBE
Structure: optimized geometry

Values from the calculation:
E (eV per cell): -38.07
Size of the total moment (μB/cell): 0.00
Crystal system: orthorhombic

Geometry as CIF:
```
data_Nd3YPb2S
_cell_length_a 5.107
_cell_length_b 5.257
_cell_length_c 9.127
_cell_angle_alpha 106.74
_cell_angle_beta 106.25
_cell_angle_gamma 90.00
_space_group_name_H-M_alt 'P 1'
_space_group_IT_number 1
_space_group_name_Hall 'P 1'
loop_
_atom_site_label
_atom_site_type_symbol
_atom_site_fract_x
_atom_site_fract_y
_atom_site_fract_z
S1 S 0.000 0.000 0.000
Pb1 Pb 0.636 0.636 0.273
Pb2 Pb 0.364 0.364 0.727
Nd1 Nd 0.000 0.500 0.000
Nd2 Nd 0.831 0.831 0.663
Nd3 Nd 0.169 0.169 0.337
Y1 Y 0.500 0.000 0.000
```


Record 2
Compound: Na3TiO3
Source: the Alexandria database
Functional: GGA-PBE
Structure: optimized geometry

Values from the calculation:
E (eV per cell): -80.75
Size of the total moment (μB/cell): 0.00
Excess energy over the best structure of this formula in the dataset (eV per atom): 0.000
Crystal system: monoclinic

Geometry as CIF:
```
data_Na3TiO3
_cell_length_a 6.136
_cell_length_b 6.136
_cell_length_c 5.966
_cell_angle_alpha 94.54
_cell_angle_beta 94.54
_cell_angle_gamma 112.53
_space_group_name_H-M_alt 'P 1'
_space_group_IT_number 1
_space_group_name_Hall 'P 1'
loop_
_atom_site_label
_atom_site_type_symbol
_atom_site_fract_x
_atom_site_fract_y
_atom_site_fract_z
O1 O 0.556 0.850 0.712
O2 O 0.850 0.556 0.712
O3 O 0.081 0.081 0.814
O4 O 0.150 0.444 0.288
O5 O 0.444 0.150 0.288
O6 O 0.919 0.919 0.186
Ti1 Ti 0.197 0.197 0.142
Ti2 Ti 0.803 0.803 0.858
Na1 Na 0.274 0.726 0.000
Na2 Na 0.810 0.190 0.500
Na3 Na 0.726 0.274 0.000
Na4 Na 0.190 0.810 0.500
Na5 Na 0.362 0.362 0.651
Na6 Na 0.638 0.638 0.349
```


Record 3
Compound: PaTa2Ga
Source: the Alexandria database
Functional: GGA-PBE
Structure: optimized geometry

Values from the calculation:
Formation energy (meV/atom): 112
E (eV per cell): -35.78
Size of the total moment (μB/cell): 0.00
Excess energy over the best structure of this formula in the dataset (eV per atom): 0.094
Crystal system: cubic

Geometry as CIF:
```
data_PaTa2Ga
_cell_length_a 4.753
_cell_length_b 4.753
_cell_length_c 4.753
_cell_angle_alpha 60.00
_cell_angle_beta 60.00
_cell_angle_gamma 60.00
_space_group_name_H-M_alt 'P 1'
_space_group_IT_number 1
_space_group_name_Hall 'P 1'
loop_
_atom_site_label
_atom_site_type_symbol
_atom_site_fract_x
_atom_site_fract_y
_atom_site_fract_z
Ta1 Ta 0.750 0.750 0.750
Ta2 Ta 0.250 0.250 0.250
Ga1 Ga 0.500 0.500 0.500
Pa1 Pa 0.000 0.000 0.000
```


Repeat the second record exactly.
Compound: Na3TiO3
Source: the Alexandria database
Functional: GGA-PBE
Structure: optimized geometry

Values from the calculation:
E (eV per cell): -80.75
Size of the total moment (μB/cell): 0.00
Excess energy over the best structure of this formula in the dataset (eV per atom): 0.000
Crystal system: monoclinic

Geometry as CIF:
```
data_Na3TiO3
_cell_length_a 6.136
_cell_length_b 6.136
_cell_length_c 5.966
_cell_angle_alpha 94.54
_cell_angle_beta 94.54
_cell_angle_gamma 112.53
_space_group_name_H-M_alt 'P 1'
_space_group_IT_number 1
_space_group_name_Hall 'P 1'
loop_
_atom_site_label
_atom_site_type_symbol
_atom_site_fract_x
_atom_site_fract_y
_atom_site_fract_z
O1 O 0.556 0.850 0.712
O2 O 0.850 0.556 0.712
O3 O 0.081 0.081 0.814
O4 O 0.150 0.444 0.288
O5 O 0.444 0.150 0.288
O6 O 0.919 0.919 0.186
Ti1 Ti 0.197 0.197 0.142
Ti2 Ti 0.803 0.803 0.858
Na1 Na 0.274 0.726 0.000
Na2 Na 0.810 0.190 0.500
Na3 Na 0.726 0.274 0.000
Na4 Na 0.190 0.810 0.500
Na5 Na 0.362 0.362 0.651
Na6 Na 0.638 0.638 0.349
```